[1]
Density functional theory data (PBE) for a relaxed Ce5GeSb5 crystal.

Output
Space-group type: No. 12
Uncorrected formation energy, eV/atom: -0.7247
Density, kg/m3: 6280

Structure (POSCAR):
```
Ce5GeSb5
1.0
7.021 -3.117 0.000
7.021 3.117 0.000
-2.831 0.000 8.349
Ce Ge Sb
5 1 5
Cartesian
0.000 0.000 0.000 Ce
2.839 0.000 5.619 Ce
4.310 0.000 1.365 Ce
6.901 0.000 6.984 Ce
8.372 0.000 2.730 Ce
7.021 0.000 0.000 Ge
-0.035 0.000 6.922 Sb
1.500 0.000 2.789 Sb
5.606 0.000 4.175 Sb
9.711 0.000 5.560 Sb
11.246 0.000 1.427 Sb
```

=====

[2]
Density functional theory data (PBE) for a relaxed HoUIrRh crystal.

Output
Space-group type: No. 216
Density, kg/m3: 14498
Formation enthalpy at 0 K, eV/atom: -0.593

Structure (POSCAR):
```
HoUIrRh
1.0
0.000 3.419 3.419
3.419 0.000 3.419
3.419 3.419 0.000
Ho U Ir Rh
1 1 1 1
Cartesian
0.000 0.000 0.000 Ho
3.419 3.419 3.419 U
5.129 5.129 5.129 Ir
1.710 1.710 1.710 Rh
```